# 1
A plane-wave DFT calculation with PBE was carried out for a relaxed Na2HfBP crystal.

Cell and atoms, written as POSCAR:
```
Na2HfBP
1.0
-3.204 0.791 3.153
-3.100 -2.255 -2.585
1.095 -3.905 2.093
P B Hf Na
1 1 1 2
Direct
0.500 0.500 0.500
0.000 0.000 0.000
0.000 0.500 0.000
0.000 0.000 0.500
0.500 0.000 0.000
```

Output
Crystal system: tetragonal
N(E_F) in states/eV/f.u.: 4.043
VASP energy in eV per atom: -4.36
ΔE_f in eV per atom: 0.57

# 2
A plane-wave DFT calculation with PBE was carried out for a relaxed NaHf2BP crystal.

Cell and atoms, written as POSCAR:
```
NaHf2BP
1.0
-2.667 2.560 -2.561
-0.494 -3.433 -2.917
-3.588 -1.438 2.299
P B Hf Na
1 1 2 1
Direct
0.500 0.500 0.500
0.000 0.000 0.000
0.000 0.000 0.500
0.500 0.000 0.000
0.000 0.500 0.000
```

Output
Crystal system: tetragonal
N(E_F) in states/eV/f.u.: 2.104
VASP energy in eV per atom: -6.53
ΔE_f in eV per atom: 0.13

# 3
A plane-wave DFT calculation with PBE was carried out for a relaxed Na2HfBSe crystal.

Cell and atoms, written as POSCAR:
```
Na2HfBSe
1.0
-4.074 -2.254 -1.175
2.126 -3.959 0.222
-1.145 -0.355 4.650
Na B Hf Se
2 1 1 1
Direct
0.000 0.000 0.500
0.500 0.000 0.000
0.000 0.000 0.000
0.000 0.500 0.000
0.500 0.500 0.500
```

Output
Crystal system: tetragonal
N(E_F) in states/eV/f.u.: 2.204
Formation energy without anion corrections in eV per atom: 0.281
VASP energy in eV per atom: -4.27

# 4
A plane-wave DFT calculation with PBE was carried out for a relaxed NaHfTcB2 crystal.

Cell and atoms, written as POSCAR:
```
NaHfTcB2
1.0
-2.506 3.054 1.729
-3.643 -1.369 -2.863
-1.320 -2.788 3.013
Na B Hf Tc
1 2 1 1
Direct
0.500 0.500 0.500
0.000 0.000 0.500
0.500 0.000 0.000
0.000 0.500 0.000
0.000 0.000 0.000
```

Output
Crystal system: tetragonal
N(E_F) in states/eV/f.u.: 2.707
VASP energy in eV per atom: -6.09
ΔE_f in eV per atom: 0.91

# 5
A plane-wave DFT calculation with PBE was carried out for a relaxed NaHf2BTe crystal.

Cell and atoms, written as POSCAR:
```
NaHf2BTe
1.0
-1.037 0.592 -4.410
3.259 -3.569 -1.245
-3.301 -3.139 0.355
Na B Te Hf
1 1 1 2
Direct
0.000 0.500 0.000
0.000 0.000 0.000
0.500 0.500 0.500
0.000 0.000 0.500
0.500 0.000 0.000
```

Output
Crystal system: tetragonal
N(E_F) in states/eV/f.u.: 6.075
Formation energy without anion corrections in eV per atom: 0.040
VASP energy in eV per atom: -6.17

# 6
A plane-wave DFT calculation with PBE was carried out for a relaxed HfNb6B4 crystal.

Cell and atoms, written as POSCAR:
```
HfNb6B4
1.0
-5.858 1.435 0.975
1.378 -3.387 -4.894
2.709 -3.894 3.849
Hf Nb B
1 6 4
Direct
0.000 0.000 0.000
0.000 0.840 0.530
0.000 0.530 0.840
0.690 0.160 0.160
0.500 0.000 0.500
0.310 0.470 0.470
0.500 0.500 0.000
0.000 0.203 0.640
0.563 0.360 0.360
0.000 0.640 0.203
0.437 0.797 0.797
```

Output
Crystal system: tetragonal
N(E_F) in states/eV/f.u.: 7.895
VASP energy in eV per atom: -8.96
ΔE_f in eV per atom: -0.14

Question: What is the N(E_F) in the third record?
Answer: 2.204 states/eV/f.u.

Question: What is the formula in the fifth record?
Answer: NaHf2BTe

Question: What is the N(E_F) in the fourth record?
Answer: 2.707 states/eV/f.u.

Question: Look up the N(E_F) of the first one.
Answer: 4.043 states/eV/f.u.